Entry 1:
# PBE Tb2ErN, relaxed
# - Electronic total energy: -6.1863 eV per atom
# - Magnetic moment: 0.199 μB/atom
# - E_form (uncorrected): -0.649 eV/atom
data_Tb2ErN
_chemical_formula_sum 'Tb6 Er3 N3'
_space_group_name_H-M_alt 'R -3 m'
_space_group_IT_number 166
_space_group_name_Hall '-R 3 2"'
_cell_length_a 3.4697
_cell_length_b 3.4697
_cell_length_c 28.2095
_cell_angle_alpha 90.00
_cell_angle_beta 90.00
_cell_angle_gamma 120.00
loop_
_atom_site_label
_atom_site_type_symbol
_atom_site_fract_x
_atom_site_fract_y
_atom_site_fract_z
_atom_site_occupancy
Tb1 Tb 0.0000 0.0000 0.1194 1
Er1 Er 0.0000 0.0000 0.0000 1
N1 N 0.0000 0.0000 0.5000 1

***

Entry 2:
# PBE Tb3Er2N4, relaxed
# - Electronic total energy: -7.7596 eV per atom
# - Magnetic moment: 0.045 μB/atom
# - E_form (uncorrected): -1.502 eV/atom
data_Tb3Er2N4
_chemical_formula_sum 'Tb6 Er4 N8'
_space_group_name_H-M_alt 'C 1 2/m 1'
_space_group_IT_number 12
_cell_length_a 6.026
_cell_length_b 3.479
_cell_length_c 14.435
_cell_angle_alpha 90.00
_cell_angle_beta 90.08
_cell_angle_gamma 90.00
loop_
_space_group_symop_operation_xyz
'x,y,z'
'-x,-y,-z'
'-x,y,-z'
'x,-y,z'
'x+1/2,y+1/2,z'
'-x+1/2,-y+1/2,-z'
'-x+1/2,y+1/2,-z'
'x+1/2,-y+1/2,z'
loop_
_atom_site_label
_atom_site_type_symbol
_atom_site_fract_x
_atom_site_fract_y
_atom_site_fract_z
_atom_site_occupancy
Tb1 Tb 0.000 0.000 0.000 1
Tb2 Tb 0.166 0.500 0.617 1
Er1 Er 0.167 0.500 0.191 1
N1 N 0.001 0.000 0.297 1
N2 N 0.166 0.500 0.898 1

***

Entry 3:
# PBE TbErN, relaxed
# - Electronic total energy: -6.8262 eV per atom
# - Magnetic moment: 0.000 μB/atom
# - E_form (uncorrected): -0.987 eV/atom
data_TbErN
_chemical_formula_sum 'Tb4 Er4 N4'
_space_group_name_H-M_alt 'P n m a'
_space_group_IT_number 62
_cell_length_a 14.462
_cell_length_b 3.777
_cell_length_c 5.098
_cell_angle_alpha 90.00
_cell_angle_beta 90.00
_cell_angle_gamma 90.00
loop_
_space_group_symop_operation_xyz
'x,y,z'
'-x,-y,-z'
'-x+1/2,-y,z+1/2'
'x+1/2,y,-z+1/2'
'x+1/2,-y+1/2,-z+1/2'
'-x+1/2,y+1/2,z+1/2'
'-x,y+1/2,-z'
'x,-y+1/2,z'
loop_
_atom_site_label
_atom_site_type_symbol
_atom_site_fract_x
_atom_site_fract_y
_atom_site_fract_z
_atom_site_occupancy
Tb1 Tb 0.208 0.250 0.249 1
Er1 Er 0.053 0.250 0.750 1
N1 N 0.203 0.250 0.749 1

***

Question: What is the formula in the first record?
Answer: Tb2ErN

***

Please write out number 3 again, unchanged.
# PBE TbErN, relaxed
# - Electronic total energy: -6.8262 eV per atom
# - Magnetic moment: 0.000 μB/atom
# - E_form (uncorrected): -0.987 eV/atom
data_TbErN
_chemical_formula_sum 'Tb4 Er4 N4'
_space_group_name_H-M_alt 'P n m a'
_space_group_IT_number 62
_cell_length_a 14.462
_cell_length_b 3.777
_cell_length_c 5.098
_cell_angle_alpha 90.00
_cell_angle_beta 90.00
_cell_angle_gamma 90.00
loop_
_space_group_symop_operation_xyz
'x,y,z'
'-x,-y,-z'
'-x+1/2,-y,z+1/2'
'x+1/2,y,-z+1/2'
'x+1/2,-y+1/2,-z+1/2'
'-x+1/2,y+1/2,z+1/2'
'-x,y+1/2,-z'
'x,-y+1/2,z'
loop_
_atom_site_label
_atom_site_type_symbol
_atom_site_fract_x
_atom_site_fract_y
_atom_site_fract_z
_atom_site_occupancy
Tb1 Tb 0.208 0.250 0.249 1
Er1 Er 0.053 0.250 0.750 1
N1 N 0.203 0.250 0.749 1

***

Question: Look up the E_form (uncorrected) of the second one.
Answer: -1.502 eV/atom